The following is a PBE-GGA calculation of a relaxed Sr2ZnFeW crystal, from the Alexandria database.

Unit cell a=5.537 b=5.537 c=4.631 alpha=90.00 beta=90.00 gamma=90.00
Element x y z (fractional)
Sr 0.000 0.500 0.000
Sr 0.500 0.000 0.000
Zn 0.000 0.000 0.500
Fe 0.000 0.000 0.000
W 0.500 0.500 0.500

## Properties
calculated density = 5.62 g cm⁻³
formation energy = 7.275 eV per formula unit
final energy = -3.756 eV/atom